First-principles (PBE-GGA) data for crystalline Sm4TlCdIn2 at its relaxed geometry, as listed in Alexandria.

Values from the calculation:
- Energy of formation from the pure elements: -41.2 kJ/mol of atoms
- Crystal system: trigonal

Lattice parameters (Å, degrees): 5.4275 5.4275 26.5912 90.00 90.00 120.00
Space group R-3m (No. 166, hexagonal axes)
Symmetry-distinct sites (fractional):
Sm 0.0000 0.0000 0.1245 (multiplicity 6)
Sm 0.0000 0.0000 0.3746 (multiplicity 6)
Tl 0.0000 0.0000 0.5000 (multiplicity 3)
Cd 0.0000 0.0000 0.0000 (multiplicity 3)
In 0.0000 0.0000 0.2520 (multiplicity 6)